Li4Cu3F10 | meta-GGA SCAN | single point on PBEsol structure

Summary:
formation energy from raw total energies = -2342 meV per atom
symmetry = P-1
calculated total energy = -130.37 eV per cell

Cell lengths 5.386, 5.856, 8.602 Å; angles 98.79, 92.52, 123.94 degrees
Atoms (fractional coordinates):
1 Li 0.873 0.994 0.279
2 Li 0.127 0.006 0.721
3 Li 0.356 0.961 0.350
4 Li 0.644 0.039 0.650
5 F 0.738 0.218 0.290
6 F 0.262 0.782 0.710
7 F 0.955 0.728 0.243
8 F 0.290 0.276 0.299
9 F 0.593 0.832 0.437
10 F 0.500 0.000 0.000
11 F 0.407 0.168 0.563
12 F 0.500 0.500 0.000
13 F 0.045 0.272 0.757
14 F 0.710 0.724 0.701
15 Cu 0.652 0.358 0.131
16 Cu 0.348 0.642 0.869
17 Cu 0.500 0.500 0.500